Material: ZnIn2Br
Method: DFT, meta-GGA SCAN
State: single point on PBEsol structure Values from VASP.

Values from the calculation:
Energy relative to the elements, uncorrected (eV per atom): -0.06

Geometry as Quantum ESPRESSO input:
```
&SYSTEM
  ibrav = 0, nat = 4, ntyp = 3
/
ATOMIC_SPECIES
Br 79.90 Br.upf
In 114.82 In.upf
Zn 65.41 Zn.upf
CELL_PARAMETERS angstrom
-0.681 -2.803 1.947
0.472 -3.111 -4.313
5.112 2.400 2.132
ATOMIC_POSITIONS crystal
Br 0.216 0.716 0.431
In 0.005 0.005 0.010
In 0.779 0.279 0.559
Zn 0.500 0.500 0.999
```

Material: GaCuSi2Bi
Method: DFT, meta-GGA SCAN
State: single point on PBEsol structure Values from VASP.

Values from the calculation:
Energy relative to the elements, uncorrected (eV per atom): 0.57

Geometry as Quantum ESPRESSO input:
```
&SYSTEM
  ibrav = 0, nat = 5, ntyp = 4
/
ATOMIC_SPECIES
Si 28.09 Si.upf
Cu 63.55 Cu.upf
Bi 208.98 Bi.upf
Ga 69.72 Ga.upf
CELL_PARAMETERS angstrom
-1.397 -2.956 -3.245
4.219 0.036 -1.849
1.227 -3.575 2.729
ATOMIC_POSITIONS crystal
Si 0.000 0.500 0.000
Si 0.500 0.000 0.000
Cu 0.000 0.000 0.000
Bi 0.500 0.500 0.500
Ga 0.000 0.000 0.500
```

Material: Li5NiO4
Method: DFT, meta-GGA SCAN
State: single point on PBEsol structure Values from VASP.

Values from the calculation:
Energy relative to the elements, uncorrected (eV per atom): -1.75

Geometry as Quantum ESPRESSO input:
```
&SYSTEM
  ibrav = 0, nat = 80, ntyp = 3
/
ATOMIC_SPECIES
Li 6.94 Li.upf
Ni 58.69 Ni.upf
O 16.00 O.upf
CELL_PARAMETERS angstrom
4.978 0.000 0.000
0.000 9.381 0.000
0.000 0.000 15.844
ATOMIC_POSITIONS crystal
Li 0.063 0.037 0.434
Li 0.437 0.037 0.934
Li 0.961 0.048 0.271
Li 0.539 0.048 0.771
Li 0.996 0.218 0.973
Li 0.504 0.218 0.473
Li 0.394 0.182 0.320
Li 0.106 0.182 0.820
Li 0.589 0.193 0.155
Li 0.911 0.193 0.655
Li 0.089 0.307 0.155
Li 0.411 0.307 0.655
Li 0.606 0.318 0.820
Li 0.894 0.318 0.320
Li 0.496 0.282 0.973
Li 0.004 0.282 0.473
Li 0.461 0.452 0.271
Li 0.039 0.452 0.771
Li 0.937 0.463 0.934
Li 0.563 0.463 0.434
Li 0.063 0.537 0.066
Li 0.437 0.537 0.566
Li 0.961 0.548 0.229
Li 0.539 0.548 0.729
Li 0.504 0.718 0.027
Li 0.996 0.718 0.527
Li 0.394 0.682 0.180
Li 0.106 0.682 0.680
Li 0.589 0.693 0.345
Li 0.911 0.693 0.845
Li 0.089 0.807 0.345
Li 0.411 0.807 0.845
Li 0.606 0.818 0.680
Li 0.894 0.818 0.180
Li 0.004 0.782 0.027
Li 0.496 0.782 0.527
Li 0.039 0.952 0.729
Li 0.461 0.952 0.229
Li 0.937 0.963 0.566
Li 0.563 0.963 0.066
Ni 0.127 0.041 0.116
Ni 0.373 0.041 0.616
Ni 0.627 0.459 0.116
Ni 0.873 0.459 0.616
Ni 0.127 0.541 0.384
Ni 0.373 0.541 0.884
Ni 0.627 0.959 0.384
Ni 0.873 0.959 0.884
O 0.783 0.020 0.152
O 0.717 0.020 0.652
O 0.259 0.145 0.209
O 0.241 0.145 0.709
O 0.305 0.132 0.029
O 0.195 0.132 0.529
O 0.739 0.148 0.880
O 0.761 0.148 0.380
O 0.239 0.352 0.880
O 0.261 0.352 0.380
O 0.805 0.368 0.029
O 0.695 0.368 0.529
O 0.759 0.355 0.209
O 0.741 0.355 0.709
O 0.283 0.480 0.152
O 0.217 0.480 0.652
O 0.717 0.520 0.848
O 0.783 0.520 0.348
O 0.259 0.645 0.291
O 0.241 0.645 0.791
O 0.195 0.632 0.971
O 0.305 0.632 0.471
O 0.761 0.648 0.120
O 0.739 0.648 0.620
O 0.239 0.852 0.620
O 0.261 0.852 0.120
O 0.805 0.868 0.471
O 0.695 0.868 0.971
O 0.741 0.855 0.791
O 0.759 0.855 0.291
O 0.283 0.980 0.348
O 0.217 0.980 0.848
```

Material: Cu2PAu
Method: DFT, meta-GGA SCAN
State: single point on PBEsol structure Values from VASP.

Values from the calculation:
Energy of formation from the pure elements (eV per formula unit): 0.61

Geometry as Quantum ESPRESSO input:
```
&SYSTEM
  ibrav = 0, nat = 4, ntyp = 3
/
ATOMIC_SPECIES
Au 196.97 Au.upf
Cu 63.55 Cu.upf
P 30.97 P.upf
CELL_PARAMETERS angstrom
-1.050 -0.911 -2.544
3.520 -2.621 -0.514
-3.073 -2.368 2.116
ATOMIC_POSITIONS crystal
Au 0.500 0.500 0.500
Cu 0.000 0.500 0.000
Cu 0.000 0.000 0.500
P 0.500 0.000 0.000
```

Material: NbCoC2
Method: DFT, meta-GGA SCAN
State: single point on PBEsol structure Values from VASP.

Values from the calculation:
Energy of formation from the pure elements (eV per formula unit): 3.60

Geometry as Quantum ESPRESSO input:
```
&SYSTEM
  ibrav = 0, nat = 4, ntyp = 3
/
ATOMIC_SPECIES
Nb 92.91 Nb.upf
Co 58.93 Co.upf
C 12.01 C.upf
CELL_PARAMETERS angstrom
3.739 0.000 0.000
1.869 3.238 0.000
1.869 1.079 3.053
ATOMIC_POSITIONS crystal
Nb 0.500 0.500 0.500
Co 0.000 0.000 0.000
C 0.250 0.250 0.250
C 0.750 0.750 0.750
```

Material: Co21Ge2B6
Method: DFT, meta-GGA SCAN
State: single point on PBEsol structure Values from VASP.

Values from the calculation:
Energy of formation from the pure elements (eV per formula unit): -3.54

Geometry as Quantum ESPRESSO input:
```
&SYSTEM
  ibrav = 0, nat = 29, ntyp = 3
/
ATOMIC_SPECIES
Co 58.93 Co.upf
Ge 72.64 Ge.upf
B 10.81 B.upf
CELL_PARAMETERS angstrom
-1.974 5.859 3.843
-5.781 3.921 -2.051
-6.093 -0.142 3.982
ATOMIC_POSITIONS crystal
Co 0.000 0.000 0.000
Co 0.620 0.141 0.620
Co 0.620 0.620 0.141
Co 0.620 0.620 0.620
Co 0.141 0.620 0.620
Co 0.380 0.859 0.380
Co 0.380 0.380 0.859
Co 0.380 0.380 0.380
Co 0.859 0.380 0.380
Co 0.665 0.335 0.000
Co 0.000 0.335 0.000
Co 0.000 0.335 0.665
Co 0.000 0.000 0.335
Co 0.665 0.000 0.335
Co 0.000 0.665 0.335
Co 0.000 0.000 0.665
Co 0.000 0.665 0.000
Co 0.665 0.000 0.000
Co 0.335 0.665 0.000
Co 0.335 0.000 0.665
Co 0.335 0.000 0.000
Ge 0.750 0.750 0.750
Ge 0.250 0.250 0.250
B 0.278 0.278 0.722
B 0.722 0.278 0.722
B 0.722 0.278 0.278
B 0.722 0.722 0.278
B 0.278 0.722 0.278
B 0.278 0.722 0.722
```

Material: TaCoW2
Method: DFT, meta-GGA SCAN
State: single point on PBEsol structure Values from VASP.

Values from the calculation:
Energy of formation from the pure elements (eV per formula unit): -0.07

Geometry as Quantum ESPRESSO input:
```
&SYSTEM
  ibrav = 0, nat = 4, ntyp = 3
/
ATOMIC_SPECIES
Co 58.93 Co.upf
Ta 180.95 Ta.upf
W 183.84 W.upf
CELL_PARAMETERS angstrom
-1.215 2.858 0.490
-2.898 -1.180 -0.306
-0.181 -1.090 5.911
ATOMIC_POSITIONS crystal
Co 0.000 0.000 0.500
Ta 0.500 0.500 0.737
W 0.000 0.000 0.008
W 0.500 0.500 0.256
```

Material: P2Rh3
Method: DFT, meta-GGA SCAN
State: single point on PBEsol structure Values from VASP.

Values from the calculation:
Energy of formation from the pure elements (eV per formula unit): -3.85

Geometry as Quantum ESPRESSO input:
```
&SYSTEM
  ibrav = 0, nat = 5, ntyp = 2
/
ATOMIC_SPECIES
P 30.97 P.upf
Rh 102.91 Rh.upf
CELL_PARAMETERS angstrom
3.309 0.000 0.000
0.000 3.309 0.000
0.000 0.000 6.206
ATOMIC_POSITIONS crystal
P 0.000 0.500 0.744
P 0.500 0.000 0.256
Rh 0.000 0.500 0.368
Rh 0.500 0.000 0.632
Rh 0.000 0.000 0.000
```

Material: SrCaPt2
Method: DFT, meta-GGA SCAN
State: single point on PBEsol structure Values from VASP.

Values from the calculation:
Energy of formation from the pure elements (eV per formula unit): -2.80

Geometry as Quantum ESPRESSO input:
```
&SYSTEM
  ibrav = 0, nat = 4, ntyp = 3
/
ATOMIC_SPECIES
Sr 87.62 Sr.upf
Ca 40.08 Ca.upf
Pt 195.08 Pt.upf
CELL_PARAMETERS angstrom
-1.729 2.378 3.011
-1.900 -3.400 1.594
5.642 -0.298 0.534
ATOMIC_POSITIONS crystal
Sr 0.500 0.500 0.000
Ca 0.250 0.750 0.500
Pt 0.000 0.000 0.000
Pt 0.750 0.250 0.500
```

Material: GaReS3
Method: DFT, meta-GGA SCAN
State: single point on PBEsol structure Values from VASP.

Values from the calculation:
Energy relative to the elements, uncorrected (eV per atom): 0.21

Geometry as Quantum ESPRESSO input:
```
&SYSTEM
  ibrav = 0, nat = 5, ntyp = 3
/
ATOMIC_SPECIES
Re 186.21 Re.upf
S 32.06 S.upf
Ga 69.72 Ga.upf
CELL_PARAMETERS angstrom
-0.014 3.897 -2.494
-3.832 1.388 2.190
2.593 2.072 3.223
ATOMIC_POSITIONS crystal
Re 0.000 0.000 0.000
S 0.000 0.500 0.000
S 0.000 0.000 0.500
S 0.500 0.000 0.000
Ga 0.500 0.500 0.500
```

Material: TlFeNi2P
Method: DFT, meta-GGA SCAN
State: single point on PBEsol structure Values from VASP.

Values from the calculation:
Energy of formation from the pure elements (eV per formula unit): 6.05

Geometry as Quantum ESPRESSO input:
```
&SYSTEM
  ibrav = 0, nat = 5, ntyp = 4
/
ATOMIC_SPECIES
Ni 58.69 Ni.upf
Tl 204.38 Tl.upf
Fe 55.84 Fe.upf
P 30.97 P.upf
CELL_PARAMETERS angstrom
-3.912 -1.397 -1.124
1.087 -3.993 1.181
-1.599 0.885 4.463
ATOMIC_POSITIONS crystal
Ni 0.000 0.500 0.000
Ni 0.500 0.000 0.000
Tl 0.000 0.000 0.500
Fe 0.000 0.000 0.000
P 0.500 0.500 0.500
```

Material: BaH3Rh
Method: DFT, meta-GGA SCAN
State: single point on PBEsol structure Values from VASP.

Values from the calculation:
DFT total energy (eV/atom): -17.290

Geometry as Quantum ESPRESSO input:
```
&SYSTEM
  ibrav = 0, nat = 10, ntyp = 3
/
ATOMIC_SPECIES
H 1.01 H.upf
Rh 102.91 Rh.upf
Ba 137.33 Ba.upf
CELL_PARAMETERS angstrom
4.419 0.000 0.000
0.000 4.918 0.000
-2.209 0.000 6.426
ATOMIC_POSITIONS crystal
H 0.807 0.526 0.636
H 0.171 0.474 0.364
H 0.082 0.000 0.000
H 0.829 0.974 0.636
H 0.918 0.500 0.000
H 0.193 0.026 0.364
Rh 0.911 0.750 0.821
Rh 0.089 0.250 0.179
Ba 0.627 0.750 0.255
Ba 0.373 0.250 0.745
```

| no. | density (kg/m³) |
| --- | --- |
| 1 | 6537 |
| 2 | 6688 |
| 3 | 2826 |
| 4 | 10892 |
| 5 | 7903 |
| 6 | 8813 |
| 7 | 16972 |
| 8 | 9058 |
| 9 | 10046 |
| 10 | 5904 |
| 11 | 7595 |
| 12 | 5786 |